Below is MgVBr2 after structural relaxation, with properties calculated at the PBE-GGA level.

Values from the calculation:
**Relative energy among the computed polymorphs**: 215 meV per atom
**Formation energy without anion corrections**: -0.1669 eV/atom
**Volume**: 103 Å³ per cell

Unit cell a=9.0569 b=9.0569 c=9.0569 alpha=23.41 beta=23.41 gamma=23.41
Closest atoms and distances in Å follow each position.
Sites, in units of the cell vectors:
1 V 0.0000 0.0000 0.0000  2 Br 2.78
2 Mg 0.5000 0.5000 0.5000  6 Br 2.67
3 Br 0.8948 0.8948 0.8948  3 Mg 2.67, 1 V 2.78
4 Br 0.1052 0.1052 0.1052  3 Mg 2.67, 1 V 2.78